Computed, not measured: an optimized crystal structure of LuUAl at the PBE-GGA level of DFT.

Output
The total magnetization is 1.2030 μB per atom. As for the mass density: 8532 kg/m3. The energy relative to the lowest polymorph listed for this composition comes out at 0.00 eV per formula unit.

Cell: 6.9968 6.9968 6.9968 Å, 90.00 90.00 90.00°
Closest atoms and distances in Å follow each position.
Fractional coordinates of all 12 atoms:
Lu 0.0000 0.0000 0.0000  4 Al 3.03
Lu 0.0000 0.5000 0.5000  4 Al 3.03
Lu 0.5000 0.0000 0.5000  4 Al 3.03
Lu 0.5000 0.5000 0.0000  4 Al 3.03
U 0.0000 0.0000 0.5000  4 Al 3.03
U 0.0000 0.5000 0.0000  4 Al 3.03
U 0.5000 0.0000 0.0000  4 Al 3.03
U 0.5000 0.5000 0.5000  4 Al 3.03
Al 0.2500 0.2500 0.2500  4 U 3.03, 4 Lu 3.03
Al 0.2500 0.7500 0.7500  4 U 3.03, 4 Lu 3.03
Al 0.7500 0.2500 0.7500  4 U 3.03, 4 Lu 3.03
Al 0.7500 0.7500 0.2500  4 U 3.03, 4 Lu 3.03

***

Computed, not measured: an optimized crystal structure of TbYTlAu2 at the PBE-GGA level of DFT.

Output
As for the raw total energy: -4.67 eV/atom. The total magnetization is 0.0013 μB per atom. As for the mass density: 11609 kg/m3.

Cell: 3.5849 4.5490 14.8441 Å, 90.00 90.00 90.00°
Closest atoms and distances in Å follow each position.
Fractional coordinates of all 10 atoms:
Tb 0.0000 0.0000 0.0000  6 Au 3.05-3.14
Tb 0.0000 0.5000 0.5000  6 Au 3.05-3.14
Y 0.0000 0.0000 0.2600  6 Au 3.06-3.15
Y 0.0000 0.5000 0.7600  6 Au 3.06-3.15
Tl 0.5000 0.0000 0.6306  2 Au 2.90-2.91
Tl 0.5000 0.5000 0.1306  2 Au 2.90-2.91
Au 0.5000 0.0000 0.4348  2 Au 2.79, 1 Tl 2.91, 4 Tb 3.05
Au 0.5000 0.0000 0.8261  2 Au 2.79, 1 Tl 2.90, 4 Y 3.06
Au 0.5000 0.5000 0.3261  2 Au 2.79, 1 Tl 2.90, 4 Y 3.06
Au 0.5000 0.5000 0.9348  2 Au 2.79, 1 Tl 2.91, 4 Tb 3.05

***

Computed, not measured: an optimized crystal structure of LiLa2AgAs4 at the PBE-GGA level of DFT.

Output
As for the raw total energy: -5.11 eV/atom. The total magnetization is 0.0001 μB per atom. As for the mass density: 6456 kg/m3.

Cell: 4.0639 4.0639 10.7811 Å, 90.00 90.00 90.00°
Closest atoms and distances in Å follow each position.
Fractional coordinates of all 8 atoms:
Li 0.0000 0.0000 0.0000  4 As 2.69, 4 Ag 2.87
La 0.0000 0.5000 0.2688  8 As 3.09-3.22
La 0.5000 0.0000 0.7312  8 As 3.09-3.22
Ag 0.5000 0.5000 0.0000  4 As 2.69, 4 Li 2.87
As 0.0000 0.0000 0.5000  4 As 2.87, 4 La 3.22
As 0.0000 0.5000 0.8364  2 Ag 2.69, 2 Li 2.69
As 0.5000 0.0000 0.1636  2 Ag 2.69, 2 Li 2.69
As 0.5000 0.5000 0.5000  4 As 2.87, 4 La 3.22

***

Computed, not measured: an optimized crystal structure of SmErNi4 at the PBE-GGA level of DFT.

Output
The total magnetization is 0.0023 μB per atom. As for the mass density: 9085 kg/m3. The energy relative to the lowest polymorph listed for this composition comes out at 2.20 eV per formula unit. The energy of formation comes out at -0.3 eV per formula unit.

Cell: 5.3881 5.3881 8.0314 Å, 90.00 90.00 120.00°
Closest atoms and distances in Å follow each position.
Fractional coordinates of all 12 atoms:
Sm 0.0000 0.0000 0.0000  6 Er 3.11, 12 Ni 3.46
Sm 0.0000 0.0000 0.5000  18 Ni 3.11-3.26
Er 0.3333 0.6667 0.0000  6 Ni 2.67
Er 0.6667 0.3333 0.0000  6 Ni 2.67
Ni 0.0000 0.5000 0.2709  6 Ni 2.41-2.69, 2 Er 2.67
Ni 0.0000 0.5000 0.7291  6 Ni 2.41-2.69, 2 Er 2.67
Ni 0.3333 0.6667 0.5000  6 Ni 2.41
Ni 0.5000 0.0000 0.2709  6 Ni 2.41-2.69, 2 Er 2.67
Ni 0.5000 0.0000 0.7291  6 Ni 2.41-2.69, 2 Er 2.67
Ni 0.5000 0.5000 0.2709  6 Ni 2.41-2.69, 2 Er 2.67
Ni 0.5000 0.5000 0.7291  6 Ni 2.41-2.69, 2 Er 2.67
Ni 0.6667 0.3333 0.5000  6 Ni 2.41

***

Computed, not measured: an optimized crystal structure of TbHo2Sn3PdPt2 at the PBE-GGA level of DFT.

Output
As for the raw total energy: -5.84 eV/atom. The total magnetization is 0.0002 μB per atom. As for the mass density: 11334 kg/m3.

Cell: 4.0083 7.5304 7.5304 Å, 120.15 90.00 90.00°
Closest atoms and distances in Å follow each position.
Fractional coordinates of all 9 atoms:
Tb 0.0000 0.0000 0.0000  4 Pt 3.05, 1 Pd 3.08, 6 Sn 3.21-3.36
Ho 0.0000 0.1831 0.5914  4 Pt 3.03, 1 Pd 3.07, 6 Sn 3.21-3.36
Ho 0.0000 0.5914 0.1831  4 Pt 3.03, 1 Pd 3.07, 6 Sn 3.21-3.36
Sn 0.5000 0.3339 0.3339  2 Pd 2.78, 2 Pt 2.85
Sn 0.5000 0.5906 0.8489  2 Pd 2.79, 2 Pt 2.82-2.84
Sn 0.5000 0.8489 0.5906  2 Pd 2.79, 2 Pt 2.82-2.84
Pd 0.0000 0.5899 0.5899  6 Sn 2.78-2.79, 2 Ho 3.07, 1 Tb 3.08
Pt 0.5000 0.2597 0.9241  3 Sn 2.82-2.85, 4 Ho 3.03, 2 Tb 3.05
Pt 0.5000 0.9241 0.2597  3 Sn 2.82-2.85, 4 Ho 3.03, 2 Tb 3.05

***

Computed, not measured: an optimized crystal structure of CsCuTe2IrSe at the PBE-GGA level of DFT.

Output
As for the raw total energy: -4.18 eV/atom. The total magnetization is 0.0005 μB per atom. As for the mass density: 6898 kg/m3.

Cell: 8.6866 8.6866 10.2226 Å, 90.00 90.00 153.18°
Closest atoms and distances in Å follow each position.
Fractional coordinates of all 12 atoms:
Cs 0.2498 0.7502 0.7500  6 Te 3.81-3.88, 2 Se 3.88, 2 Cs 4.03, 2 Cu 4.26
Cs 0.7502 0.2498 0.2500  6 Te 3.81-3.88, 2 Se 3.88, 2 Cs 4.03, 2 Cu 4.26
Cu 0.0281 0.9719 0.2500  2 Se 2.44, 2 Te 2.55
Cu 0.9719 0.0281 0.7500  2 Se 2.44, 2 Te 2.55
Te 0.1038 0.8962 0.0339  1 Cu 2.55, 2 Ir 2.69
Te 0.1038 0.8962 0.4661  1 Cu 2.55, 2 Ir 2.69
Te 0.8962 0.1038 0.5339  1 Cu 2.55, 2 Ir 2.69
Te 0.8962 0.1038 0.9661  1 Cu 2.55, 2 Ir 2.69
Ir 0.5000 0.5000 0.0000  4 Te 2.69, 2 Se 2.71
Ir 0.5000 0.5000 0.5000  4 Te 2.69, 2 Se 2.71
Se 0.4462 0.5538 0.2500  2 Cu 2.44, 2 Ir 2.71
Se 0.5538 0.4462 0.7500  2 Cu 2.44, 2 Ir 2.71

***

Computed, not measured: an optimized crystal structure of Na4InAg2Pb at the PBE-GGA level of DFT.

Output
As for the raw total energy: -2.26 eV/atom. As for the mass density: 5750 kg/m3.

Cell: 5.0509 5.0509 7.1282 Å, 90.00 90.00 90.00°
Closest atoms and distances in Å follow each position.
Fractional coordinates of all 8 atoms:
Na 0.0000 0.0000 0.0000  4 Ag 3.05, 4 Na 3.08
Na 0.0000 0.5000 0.2469  2 In 3.08, 4 Na 3.08-3.10, 2 Pb 3.10
Na 0.5000 0.0000 0.7531  2 In 3.08, 4 Na 3.08-3.10, 2 Pb 3.10
Na 0.5000 0.5000 0.5000  4 Na 3.10, 4 Ag 3.13
In 0.5000 0.5000 0.0000  4 Ag 3.05, 4 Na 3.08
Ag 0.0000 0.5000 0.7596  2 In 3.05, 4 Na 3.05-3.13, 2 Pb 3.13
Ag 0.5000 0.0000 0.2404  2 In 3.05, 4 Na 3.05-3.13, 2 Pb 3.13
Pb 0.0000 0.0000 0.5000  4 Na 3.10, 4 Ag 3.13

***

Computed, not measured: an optimized crystal structure of GaCu2Ir at the PBE-GGA level of DFT.

Output
As for the raw total energy: -4.97 eV/atom. The total magnetization is 0.0003 μB per atom. As for the mass density: 12192 kg/m3.

Cell: 5.9621 5.9621 5.9621 Å, 90.00 90.00 90.00°
Closest atoms and distances in Å follow each position.
Fractional coordinates of all 16 atoms:
Ga 0.0000 0.0000 0.0000  4 Ir 2.58, 4 Cu 2.58
Ga 0.0000 0.5000 0.5000  4 Ir 2.58, 4 Cu 2.58
Ga 0.5000 0.0000 0.5000  4 Ir 2.58, 4 Cu 2.58
Ga 0.5000 0.5000 0.0000  4 Ir 2.58, 4 Cu 2.58
Cu 0.0000 0.0000 0.5000  4 Cu 2.58, 4 Ir 2.58
Cu 0.0000 0.5000 0.0000  4 Cu 2.58, 4 Ir 2.58
Cu 0.2500 0.2500 0.7500  4 Ga 2.58, 4 Cu 2.58
Cu 0.2500 0.7500 0.2500  4 Ga 2.58, 4 Cu 2.58
Cu 0.5000 0.0000 0.0000  4 Cu 2.58, 4 Ir 2.58
Cu 0.5000 0.5000 0.5000  4 Cu 2.58, 4 Ir 2.58
Cu 0.7500 0.2500 0.2500  4 Ga 2.58, 4 Cu 2.58
Cu 0.7500 0.7500 0.7500  4 Cu 2.58, 4 Ga 2.58
Ir 0.2500 0.2500 0.2500  4 Cu 2.58, 4 Ga 2.58
Ir 0.2500 0.7500 0.7500  4 Cu 2.58, 4 Ga 2.58
Ir 0.7500 0.2500 0.7500  4 Cu 2.58, 4 Ga 2.58
Ir 0.7500 0.7500 0.2500  4 Cu 2.58, 4 Ga 2.58

***

Computed, not measured: an optimized crystal structure of LiPPdSe4 at the PBE-GGA level of DFT.

Output
As for the raw total energy: -4.19 eV/atom. As for the mass density: 4387 kg/m3.

Cell: 8.3332 8.3332 8.3332 Å, 128.08 128.08 76.50°
Closest atoms and distances in Å follow each position.
Fractional coordinates of all 14 atoms:
Li 0.2500 0.2500 0.0000  8 Se 3.09
Li 0.7500 0.7500 0.0000  8 Se 3.09
P 0.2500 0.7500 0.5000  4 Se 2.24
P 0.7500 0.2500 0.5000  4 Se 2.24
Pd 0.0000 0.5000 0.5000  4 Se 2.48
Pd 0.5000 0.0000 0.5000  4 Se 2.48
Se 0.0257 0.5257 0.8283  1 P 2.24, 1 Pd 2.48
Se 0.1974 0.0257 0.5000  1 P 2.24, 1 Pd 2.48
Se 0.3026 0.8026 0.8283  1 P 2.24, 1 Pd 2.48
Se 0.4743 0.3026 0.5000  1 P 2.24, 1 Pd 2.48
Se 0.5257 0.6974 0.5000  1 P 2.24, 1 Pd 2.48
Se 0.6974 0.1974 0.1717  1 P 2.24, 1 Pd 2.48
Se 0.8026 0.9743 0.5000  1 P 2.24, 1 Pd 2.48
Se 0.9743 0.4743 0.1717  1 P 2.24, 1 Pd 2.48

***

Computed, not measured: an optimized crystal structure of CoSnMo4C2 at the PBE-GGA level of DFT.

Output
As for the raw total energy: -9.00 eV/atom. The total magnetization is 0.0552 μB per atom. As for the mass density: 8874 kg/m3.

Cell: 3.1140 3.1140 13.0443 Å, 90.00 90.00 120.00°
Closest atoms and distances in Å follow each position.
Fractional coordinates of all 8 atoms:
Co 0.0000 0.0000 0.0000  6 Mo 2.61
Sn 0.3333 0.6667 0.5000  6 Mo 2.96, 6 Sn 3.11
Mo 0.0000 0.0000 0.3197  3 C 2.11
Mo 0.0000 0.0000 0.6803  3 C 2.11
Mo 0.3333 0.6667 0.1455  3 C 2.14
Mo 0.3333 0.6667 0.8545  3 C 2.14
C 0.6667 0.3333 0.2349  6 Mo 2.11-2.14
C 0.6667 0.3333 0.7651  6 Mo 2.11-2.14